# 1
Here is crystalline Sc2BiOsSe at its relaxed geometry from Alexandria. Energies are from PBE.

Properties
* formation energy from raw total energies: 0.023 eV per atom

Structure (CIF):
```
data_Sc2BiOsSe
_space_group_name_H-M_alt 'P 1'
_space_group_IT_number 1
_cell_length_a 5.0172
_cell_length_b 4.6100
_cell_length_c 5.0172
_cell_angle_alpha 90.00
_cell_angle_beta 90.00
_cell_angle_gamma 90.00
loop_
_space_group_symop_operation_xyz
'x,y,z'
loop_
_atom_site_label
_atom_site_fract_x
_atom_site_fract_y
_atom_site_fract_z
Sc1 0.0000 0.0000 0.5000
Sc2 0.5000 0.0000 0.0000
Os1 0.0000 0.5000 0.0000
Bi1 0.5000 0.5000 0.5000
Se1 0.0000 0.0000 0.0000
```



# 2
Here is crystalline ScSnBi2Os at its relaxed geometry from Alexandria. Energies are from PBE.

Properties
* energy of formation from the pure elements: 92 kJ per mole of atoms

Structure (CIF):
```
data_ScSnBi2Os
_space_group_name_H-M_alt 'P 1'
_space_group_IT_number 1
_cell_length_a 5.5419
_cell_length_b 4.8226
_cell_length_c 5.5419
_cell_angle_alpha 90.00
_cell_angle_beta 90.00
_cell_angle_gamma 90.00
loop_
_space_group_symop_operation_xyz
'x,y,z'
loop_
_atom_site_label
_atom_site_fract_x
_atom_site_fract_y
_atom_site_fract_z
Sc1 0.0000 0.0000 0.0000
Os1 0.0000 0.5000 0.0000
Bi1 0.0000 0.0000 0.5000
Bi2 0.5000 0.0000 0.0000
Sn1 0.5000 0.5000 0.5000
```